First-principles (PBE) data for a relaxed DyHoNi2 crystal, as listed in the Alexandria database.

Output
**E**: -5.59 eV/atom

abc: 4.795 4.795 3.314
angles: 90.00 90.00 90.00
Space group P4/mmm (No. 123)
Asymmetric unit:
1 Dy 0.000 0.000 0.000
2 Ho 0.500 0.500 0.000
3 Ni 0.000 0.500 0.500

***

First-principles (PBE) data for a relaxed CsAl3Ge2 crystal, as listed in the Alexandria database.

Output
**E**: -3.61 eV/atom

abc: 4.552 8.055 9.443
angles: 78.91 77.78 86.06
Space group P-1 (No. 2)
Asymmetric unit:
1 Cs 0.247 0.236 0.024
2 Al 0.040 0.373 0.427
3 Al 0.247 0.926 0.558
4 Al 0.438 0.329 0.609
5 Ge 0.076 0.845 0.313
6 Ge 0.401 0.617 0.707

***

First-principles (PBE) data for a relaxed DyEr2AlAu4 crystal, as listed in the Alexandria database.

Output
**E**: -4.60 eV/atom

abc: 4.9179 4.9179 24.5473
angles: 90.00 90.00 120.00
Space group R-3m (No. 166, hexagonal axes)
Asymmetric unit:
1 Dy 0.0000 0.0000 0.0000
2 Er 0.0000 0.0000 0.2432
3 Al 0.0000 0.0000 0.5000
4 Au 0.0000 0.0000 0.1221
5 Au 0.0000 0.0000 0.3827

***

First-principles (PBE) data for a relaxed LiGdGaAu crystal, as listed in the Alexandria database.

Output
**E**: -6.13 eV/atom

abc: 6.887 6.887 6.887
angles: 90.00 90.00 90.00
Space group F-43m (No. 216)
Asymmetric unit:
1 Li 0.000 0.000 0.000
2 Gd 0.000 0.000 0.500
3 Ga 0.250 0.250 0.750
4 Au 0.250 0.250 0.250

***

First-principles (PBE) data for a relaxed Tm3Th3TcHg2 crystal, as listed in the Alexandria database.

Output
**E**: -5.42 eV/atom

abc: 8.5740 8.5740 3.8540
angles: 90.00 90.00 120.00
Space group P-62m (No. 189)
Asymmetric unit:
1 Tm 0.0000 0.4023 0.0000
2 Th 0.0000 0.7529 0.5000
3 Tc 0.0000 0.0000 0.0000
4 Hg 0.3333 0.6667 0.5000

***

First-principles (PBE) data for a relaxed AlPtPb2 crystal, as listed in the Alexandria database.

Output
**E**: -4.09 eV/atom

abc: 4.353 4.353 20.418
angles: 90.00 90.00 90.00
Space group I-42d (No. 122)
Asymmetric unit:
1 Al 0.000 0.000 0.000
2 Pt 0.000 0.000 0.500
3 Pb 0.245 0.250 0.625

***

First-principles (PBE) data for a relaxed TaCr3Sn crystal, as listed in the Alexandria database.

Output
**E**: -7.51 eV/atom

abc: 4.730 4.730 4.730
angles: 90.00 90.00 90.00
Space group Pm-3m (No. 221)
Asymmetric unit:
1 Ta 0.000 0.000 0.000
2 Cr 0.000 0.000 0.500
3 Sn 0.500 0.500 0.500

***

First-principles (PBE) data for a relaxed Pu3P3O crystal, as listed in the Alexandria database.

Output
**Energy relative to the elements, uncorrected**: -1.167 eV/atom
**E**: -10.34 eV/atom

abc: 9.4788 9.4788 5.6116
angles: 90.00 90.00 120.00
Space group R3m (No. 160, hexagonal axes)
Asymmetric unit:
1 Pu 0.2019 0.4037 0.0000
2 P 0.1852 0.3704 0.5020
3 O 0.0000 0.0000 0.2888

***

First-principles (PBE) data for a relaxed HfThZrCd crystal, as listed in the Alexandria database.

Output
**E**: -6.63 eV/atom

abc: 7.327 7.327 7.327
angles: 90.00 90.00 90.00
Space group F-43m (No. 216)
Asymmetric unit:
1 Hf 0.000 0.000 0.000
2 Th 0.250 0.250 0.250
3 Zr 0.250 0.250 0.750
4 Cd 0.000 0.000 0.500

***

First-principles (PBE) data for a relaxed Na2TlF crystal, as listed in the Alexandria database.

Output
**Energy relative to the elements, uncorrected**: -1.228 eV/atom
**E**: -2.95 eV/atom

abc: 6.832 6.832 8.694
angles: 90.00 90.00 90.00
Space group I-42d (No. 122)
Asymmetric unit:
1 Na 0.113 0.750 0.125
2 Tl 0.000 0.000 0.500
3 F 0.000 0.000 0.000

***

First-principles (PBE) data for a relaxed HoThFeAg crystal, as listed in the Alexandria database.

Output
**E**: -5.81 eV/atom

abc: 7.143 7.143 7.143
angles: 90.00 90.00 90.00
Space group F-43m (No. 216)
Asymmetric unit:
1 Ho 0.000 0.000 0.000
2 Th 0.000 0.000 0.500
3 Fe 0.250 0.250 0.250
4 Ag 0.250 0.250 0.750

***

First-principles (PBE) data for a relaxed NdLuZnOs crystal, as listed in the Alexandria database.

Output
**E**: -5.65 eV/atom

abc: 6.994 6.994 6.994
angles: 90.00 90.00 90.00
Space group F-43m (No. 216)
Asymmetric unit:
1 Nd 0.000 0.000 0.000
2 Lu 0.000 0.000 0.500
3 Zn 0.250 0.250 0.250
4 Os 0.250 0.250 0.750

***

First-principles (PBE) data for a relaxed Al2TlRh2 crystal, as listed in the Alexandria database.

Output
**E**: -5.47 eV/atom

abc: 7.372 7.372 2.986
angles: 90.00 90.00 90.00
Space group P4/mbm (No. 127)
Asymmetric unit:
1 Al 0.140 0.360 0.000
2 Tl 0.000 0.000 0.500
3 Rh 0.150 0.650 0.500